No. 1
# Ti2RhSe6

Crystalline Ti2RhSe6 at its relaxed geometry (PBE, the Alexandria database).

Structure (POSCAR):
```
Ti2RhSe6
1.0
-5.8179 1.4753 0.6150
-1.4592 -3.9551 -4.3163
-1.1874 -7.8473 7.5921
Ti Se Rh
4 12 2
Cartesian
-4.4205 -6.4075 3.1488 Ti
-4.0440 -3.9197 0.7419 Ti
-0.1882 -1.2439 1.2034 Ti
-0.9992 -6.6034 6.3887 Ti
-2.7046 -5.4724 -0.8512 Se
-2.3618 -2.8306 -3.2952 Se
-5.3539 -2.1717 2.1461 Se
-5.2686 -3.0677 -1.2786 Se
-2.7253 -4.6501 2.7118 Se
-3.1960 -7.2594 5.1693 Se
-6.0500 -8.2320 3.7177 Se
-2.4146 -2.0952 0.1731 Se
-4.9153 0.3508 -0.4062 Se
-5.7392 -5.6771 1.1789 Se
-5.7599 -4.8548 4.7419 Se
-3.1106 -8.1555 1.7446 Se
-3.6386 -1.2399 -1.8507 Rh
-0.5937 -3.9237 3.7960 Rh
```

## Properties
raw total energy	-5.59	eV per atom
total magnetic moment	0.0	μB/f.u.


No. 2
# BaH3Pd

Crystalline BaH3Pd at its relaxed geometry (PBE, the Alexandria database).

Structure (POSCAR):
```
BaH3Pd
1.0
14.0732 0.0000 -0.9259
5.4004 1.9248 -3.1060
-5.4004 1.9248 3.1060
H Ba Pd
6 2 2
Cartesian
5.3541 1.9248 -2.7191 H
15.4136 1.9248 -2.2891 H
5.6358 1.9248 -0.8299 H
-1.3404 1.9248 1.3632 H
8.4374 1.9248 -0.0960 H
8.7191 1.9248 1.7933 H
6.2488 1.9248 1.7642 Ba
7.8244 1.9248 -2.6901 Ba
13.8444 1.9248 -3.1390 Pd
0.2288 1.9248 2.2131 Pd
```

## Properties
raw total energy	-3.66	eV per atom
total magnetic moment	0.0	μB/f.u.


No. 3
# KPa2O6

Crystalline KPa2O6 at its relaxed geometry (PBE, the Alexandria database).

Structure (POSCAR):
```
KPa2O6
1.0
-1.7515 3.8053 6.9033
-5.7326 -2.9220 4.8788
2.0281 -3.3284 7.0719
K O Pa
2 12 4
Cartesian
-4.0920 -1.8338 14.1406 K
-2.7280 -1.2225 9.4270 K
-0.9871 1.3291 3.7395 O
-1.7409 -2.5516 5.6875 O
-4.5731 -2.2661 6.6341 O
-3.1995 0.2014 5.6224 O
-0.8829 -0.1790 12.2200 O
-5.6486 0.0706 10.8733 O
-2.5236 -1.2671 2.9582 O
-3.3277 -4.3100 10.9768 O
0.4715 -1.4240 3.8046 O
-2.1284 1.8649 7.8773 O
0.1926 -2.5157 7.9808 O
-0.2044 0.0446 6.4688 O
0.3321 -1.9699 5.8927 Pa
-3.5483 -1.7666 4.7962 Pa
-0.6820 -0.3056 2.3568 Pa
-1.5577 1.5970 5.8084 Pa
```

## Properties
raw total energy	-8.53	eV per atom
total magnetic moment	0.0	μB/f.u.


No. 4
# NdThRu2

Crystalline NdThRu2 at its relaxed geometry (PBE, the Alexandria database).

Structure (POSCAR):
```
NdThRu2
1.0
-2.9085 1.5001 1.3369
-1.9656 -2.6124 -1.3448
0.8393 -3.7205 6.0006
Ru Th Nd
2 1 1
Cartesian
0.1912 -0.8477 1.3672 Ru
0.6481 -2.8728 4.6335 Ru
-2.4370 -0.5561 -0.0040 Th
-2.0174 -2.4164 2.9964 Nd
```

## Properties
raw total energy	-7.98	eV per atom
E_form	-292	meV per atom
total magnetic moment	0.0	μB/f.u.


No. 5
# Ca2TeO

Crystalline Ca2TeO at its relaxed geometry (PBE, the Alexandria database).

Structure (POSCAR):
```
Ca2TeO
1.0
3.9184 0.0000 0.0000
1.9592 3.3935 0.0000
1.9592 1.1312 6.7133
Te Ca O
1 2 1
Cartesian
3.9184 2.2623 3.3567 Te
1.9592 1.1312 1.3011 Ca
5.8777 3.3935 5.4123 Ca
0.0000 0.0000 0.0000 O
```

## Properties
raw total energy	-5.00	eV per atom
total magnetic moment	0.0	μB/f.u.


No. 6
# Sc3VGa

Crystalline Sc3VGa at its relaxed geometry (PBE, the Alexandria database).

Structure (POSCAR):
```
Sc3VGa
1.0
4.8671 0.0000 0.0000
0.0000 4.8671 0.0000
0.0000 0.0000 4.8671
Sc V Ga
3 1 1
Cartesian
0.0000 2.4336 0.0000 Sc
2.4336 0.0000 0.0000 Sc
0.0000 0.0000 2.4336 Sc
0.0000 0.0000 0.0000 V
2.4336 2.4336 2.4336 Ga
```

## Properties
raw total energy	-5.75	eV per atom
E_form	481	meV per atom
total magnetic moment	0.4	μB/f.u.


No. 7
# EuThAg

Crystalline EuThAg at its relaxed geometry (PBE, the Alexandria database).

Structure (POSCAR):
```
EuThAg
1.0
-0.0856 3.4595 -1.2344
-2.6377 0.8014 2.4289
6.0053 -0.4177 3.8805
Th Eu Ag
1 1 1
Cartesian
2.8962 1.0682 2.7928 Th
0.1622 0.0598 0.1564 Eu
0.2236 2.7151 2.1258 Ag
```

## Properties
raw total energy	-6.84	eV per atom
E_form	10	meV per atom
total magnetic moment	7.6	μB/f.u.


No. 8
# Na2BiSe2

Crystalline Na2BiSe2 at its relaxed geometry (PBE, the Alexandria database).

Structure (POSCAR):
```
Na2BiSe2
1.0
-6.7678 1.9815 1.6366
-0.9033 -6.4124 4.0283
5.7161 4.2012 7.9695
Bi Na Se
4 8 8
Cartesian
-0.6526 -0.5533 8.8557 Bi
-1.3024 0.3236 4.7787 Bi
2.6129 -2.3843 8.5652 Bi
-4.5679 2.1546 5.0692 Bi
1.5943 0.2879 11.5164 Na
-2.6247 -2.9606 6.6478 Na
-3.5493 -0.5176 2.1180 Na
-1.8057 1.1647 12.4063 Na
0.6696 2.7309 6.9866 Na
-0.1494 -1.3944 1.2281 Na
-2.8545 2.7265 8.4301 Na
0.8994 -2.9562 5.2043 Na
-2.9341 -0.0571 7.0275 Se
0.9790 -0.1726 6.6069 Se
-5.4114 -4.0862 6.2435 Se
-2.0229 3.5295 5.7220 Se
0.0678 -3.7592 7.9125 Se
-1.6355 -2.2943 3.6771 Se
-0.3195 2.0646 9.9574 Se
3.4564 3.8566 7.3910 Se
```

## Properties
raw total energy	-3.37	eV per atom
total magnetic moment	0.0	μB/f.u.


No. 9
# Re2BIr

Crystalline Re2BIr at its relaxed geometry (PBE, the Alexandria database).

Structure (POSCAR):
```
Re2BIr
1.0
2.8226 0.0000 0.0000
1.4113 2.4445 0.0000
1.4113 0.8148 7.9586
Ir B Re
1 1 2
Cartesian
0.0000 0.0000 0.0000 Ir
2.8226 1.6297 3.9793 B
1.4113 0.8148 5.4082 Re
4.2340 2.4445 2.5504 Re
```

## Properties
raw total energy	-9.59	eV per atom
E_form	514	meV per atom
total magnetic moment	0.0	μB/f.u.


No. 10
# PmAl4In

Crystalline PmAl4In at its relaxed geometry (PBE, the Alexandria database).

Structure (POSCAR):
```
PmAl4In
1.0
-0.2351 2.6565 4.9535
2.3815 -2.3069 4.5449
4.6539 2.2726 2.1968
Pm Al In
1 4 1
Cartesian
1.7001 0.6556 2.9238 Pm
4.3655 0.3130 4.8351 Al
4.2483 1.6382 7.3061 Al
3.0602 2.7890 5.0389 Al
1.9267 0.5045 6.2103 Al
0.0000 0.0000 0.0000 In
```

## Properties
raw total energy	-3.92	eV per atom
E_form	-180	meV per atom
total magnetic moment	0.0	μB/f.u.


No. 11
# MnTe3Pb

Crystalline MnTe3Pb at its relaxed geometry (PBE, the Alexandria database).

Structure (POSCAR):
```
MnTe3Pb
1.0
-1.6737 -0.9316 4.7731
-4.6160 -1.2846 -1.8693
1.5307 -4.8922 -0.4181
Te Pb Mn
3 1 1
Cartesian
-0.8368 -0.4658 2.3865 Te
0.7654 -2.4461 -0.2090 Te
-2.3080 -0.6423 -0.9346 Te
-2.3794 -3.5542 1.2429 Pb
0.0000 0.0000 0.0000 Mn
```

## Properties
raw total energy	-4.15	eV per atom
total magnetic moment	0.0	μB/f.u.


No. 12
# NbSnNO2

Crystalline NbSnNO2 at its relaxed geometry (PBE, the Alexandria database).

Structure (POSCAR):
```
NbSnNO2
1.0
-3.7983 -0.2309 -1.3720
-0.6370 -3.2578 2.3117
-1.2808 2.4715 3.1301
O Nb Sn N
2 1 1 1
Cartesian
-1.8991 -0.1154 -0.6860 O
-0.3185 -1.6289 1.1558 O
0.0000 0.0000 0.0000 Nb
-2.8581 -0.5086 2.0349 Sn
-0.6404 1.2358 1.5650 N
```

## Properties
raw total energy	-7.70	eV per atom
total magnetic moment	0.0	μB/f.u.


No. 13
# DyPd3Au4

Crystalline DyPd3Au4 at its relaxed geometry (PBE, the Alexandria database).

Structure (POSCAR):
```
DyPd3Au4
1.0
-0.2789 3.9215 -1.0364
-1.3764 -1.1000 -3.7917
-7.0735 -1.2275 5.2335
Au Pd Dy
4 3 1
Cartesian
-4.5881 -0.4596 -0.5045 Au
-5.9148 0.1376 2.1123 Au
-2.8140 1.4563 -1.7070 Au
-4.1407 2.0536 0.9098 Au
-6.7447 1.5485 -0.3004 Pd
-1.9842 0.0454 0.7057 Pd
-0.6882 -0.5500 -1.8958 Pd
-0.1394 1.9607 -0.5182 Dy
```

## Properties
raw total energy	-4.63	eV per atom
E_form	-471	meV per atom
total magnetic moment	0.0	μB/f.u.


No. 14
# Ga8CuPt2

Crystalline Ga8CuPt2 at its relaxed geometry (PBE, the Alexandria database).

Structure (POSCAR):
```
Ga8CuPt2
1.0
-2.3884 3.4490 -1.9281
-8.4421 0.4323 3.7135
7.0347 1.0446 2.4413
Ga Cu Pt
8 1 2
Cartesian
3.1994 1.9099 1.5411 Ga
-4.2630 4.0646 3.2647 Ga
-2.8873 2.6127 1.0513 Ga
0.4673 0.8613 0.9619 Ga
1.7979 4.2243 2.1377 Ga
-6.9951 3.0160 2.6855 Ga
-5.5936 0.7016 2.0889 Ga
-0.9084 2.3132 3.1753 Ga
-1.1942 1.7245 -0.9641 Cu
-0.3073 3.3594 0.8618 Pt
-3.4884 1.5665 3.3648 Pt
```

## Properties
raw total energy	-3.95	eV per atom
E_form	-276	meV per atom
total magnetic moment	0.0	μB/f.u.


No. 15
# ZrZn2Se

Crystalline ZrZn2Se at its relaxed geometry (PBE, the Alexandria database).

Structure (POSCAR):
```
ZrZn2Se
1.0
-0.2373 4.4003 -1.6248
-1.9850 0.8602 -4.1688
-4.1426 2.2023 -0.2188
Zn Zr Se
2 1 1
Cartesian
-1.5912 1.8657 -1.5031 Zn
0.0000 0.0000 0.0000 Zn
-4.7737 5.5971 -4.5093 Zr
-3.1825 3.7314 -3.0062 Se
```

## Properties
raw total energy	-3.79	eV per atom
total magnetic moment	0.0	μB/f.u.


No. 16
# Sr2MgAl3Au12

Crystalline Sr2MgAl3Au12 at its relaxed geometry (PBE, the Alexandria database).

Structure (POSCAR):
```
Sr2MgAl3Au12
1.0
8.2654 -0.2399 -0.1702
3.8732 7.3056 -0.1702
3.8732 2.2545 6.9511
Sr Au Al Mg
2 12 3 1
Cartesian
6.2329 3.6280 2.5733 Sr
9.7789 5.6922 4.0374 Sr
12.0307 7.0029 2.2948 Au
6.1741 1.0718 0.7602 Au
7.7150 7.2026 2.2353 Au
8.2968 4.8294 0.5521 Au
5.9388 6.1687 4.3754 Au
3.9811 2.3173 4.3159 Au
10.0730 3.1515 2.2353 Au
12.0307 4.4809 5.8505 Au
9.8377 8.2484 5.8505 Au
7.7150 4.4908 6.0586 Au
8.2968 2.1176 4.3754 Au
3.9811 4.8393 0.7602 Au
1.9366 1.1273 3.4756 Al
1.9366 3.6528 -0.0851 Al
4.1327 -0.1200 -0.0851 Al
0.0000 0.0000 0.0000 Mg
```

## Properties
raw total energy	-3.32	eV per atom
E_form	-233	meV per atom
total magnetic moment	0.0	μB/f.u.


No. 17
# KCaPb2

Crystalline KCaPb2 at its relaxed geometry (PBE, the Alexandria database).

Structure (POSCAR):
```
KCaPb2
1.0
-5.5006 0.0379 1.6117
-3.9315 -3.0973 2.7937
0.8520 3.0312 6.9086
K Pb Ca
1 2 1
Cartesian
-6.4351 -0.0212 8.4855 K
-9.3519 -2.8483 4.8591 Pb
-4.3702 -0.2254 5.2032 Pb
-2.1450 -0.0071 2.8285 Ca
```

## Properties
raw total energy	-2.86	eV per atom
E_form	-236	meV per atom
total magnetic moment	0.0	μB/f.u.


No. 18
# ScMoOs2

Crystalline ScMoOs2 at its relaxed geometry (PBE, the Alexandria database).

Structure (POSCAR):
```
ScMoOs2
1.0
9.3479 -0.0003 -0.0002
8.9166 2.8064 -0.0002
8.9166 1.3699 2.4493
Mo Sc Os
1 1 2
Cartesian
20.2403 3.1097 1.8236 Mo
13.6425 2.0960 1.2292 Sc
27.1498 4.1712 2.4462 Os
6.9202 1.0632 0.6235 Os
```

## Properties
raw total energy	-9.64	eV per atom
E_form	263	meV per atom
total magnetic moment	0.0	μB/f.u.


No. 19
# LaSm4Tm8

Crystalline LaSm4Tm8 at its relaxed geometry (PBE, the Alexandria database).

Structure (POSCAR):
```
LaSm4Tm8
1.0
-5.3482 -8.4511 4.5168
10.4212 -1.1936 -3.2249
1.4978 7.3165 2.1322
Sm Tm La
4 8 1
Cartesian
2.5365 -4.8224 0.6459 Sm
0.0000 0.0000 0.0000 Sm
-2.6741 -4.2256 2.2584 Sm
5.2106 -0.5968 -1.6125 Sm
2.8455 1.4625 -0.2548 Tm
6.2772 0.2415 1.5239 Tm
5.5642 -3.2479 0.5113 Tm
1.0067 0.9197 2.9127 Tm
3.7254 -3.7908 3.6788 Tm
0.2937 -2.5698 1.9001 Tm
8.2944 0.8384 -1.9411 Tm
-1.7236 -3.1666 5.3651 Tm
5.9595 3.0615 -0.5464 La
```

## Properties
raw total energy	-4.06	eV per atom
E_form	527	meV per atom
total magnetic moment	2.1	μB/f.u.


No. 20
# ReIr4W

Crystalline ReIr4W at its relaxed geometry (PBE, the Alexandria database).

Structure (POSCAR):
```
ReIr4W
1.0
-4.4546 -0.2125 0.7127
0.7589 1.5992 5.2194
-0.2923 7.9070 0.5297
W Ir Re
2 8 2
Cartesian
-2.8445 1.8093 4.2240 W
-1.1436 7.4845 2.2379 W
-3.2467 3.6468 2.2591 Ir
-2.8656 4.4493 4.8784 Ir
-0.7414 5.6470 4.2027 Ir
-0.8738 2.2133 2.3540 Ir
-1.1225 4.8444 1.5834 Ir
-0.4927 3.0156 4.9721 Ir
-3.4954 6.2782 1.4897 Ir
-3.1143 7.0804 4.1078 Ir
-3.2254 1.0252 1.6097 Re
-0.7627 8.2686 4.8521 Re
```

## Properties
raw total energy	-10.15	eV per atom
E_form	-5	meV per atom
total magnetic moment	0.0	μB/f.u.


No. 21
# CaY2TmTe4

Crystalline CaY2TmTe4 at its relaxed geometry (PBE, the Alexandria database).

Structure (POSCAR):
```
CaY2TmTe4
1.0
-1.3307 -3.0928 -2.7580
5.6205 -4.4973 2.3313
-6.1342 -1.2318 4.3410
Y Te Tm Ca
2 4 1 1
Cartesian
-0.2569 -2.8645 3.3362 Y
-3.7325 -2.1623 0.7915 Y
-3.1934 -2.0717 3.8639 Te
2.6797 -3.6574 2.8084 Te
-1.0732 -5.8277 3.6187 Te
-0.7713 -2.9942 0.2956 Te
2.1449 -3.7950 -0.2133 Tm
0.0000 0.0000 0.0000 Ca
```

## Properties
raw total energy	-5.35	eV per atom
total magnetic moment	0.0	μB/f.u.


No. 22
# Ba2ZrSe

Crystalline Ba2ZrSe at its relaxed geometry (PBE, the Alexandria database).

Structure (POSCAR):
```
Ba2ZrSe
1.0
-0.6355 3.1884 4.7312
-5.0499 0.1139 2.7275
-0.5554 -2.5386 5.1187
Se Ba Zr
1 2 1
Cartesian
-3.1204 0.3818 6.2888 Se
-1.5602 0.1909 3.1444 Ba
0.0000 0.0000 0.0000 Ba
-4.6807 0.5728 9.4331 Zr
```

## Properties
raw total energy	-3.79	eV per atom
total magnetic moment	5.0	μB/f.u.


No. 23
# SmY4Tm2

Crystalline SmY4Tm2 at its relaxed geometry (PBE, the Alexandria database).

Structure (POSCAR):
```
SmY4Tm2
1.0
-3.1261 4.4738 1.2497
-1.3839 -5.0332 2.0141
9.4360 2.8164 13.5217
Y Sm Tm
8 2 4
Cartesian
-1.5630 2.2369 0.6248 Y
1.3867 -0.2185 4.2511 Y
-2.1541 0.7859 4.3407 Y
7.0802 1.4710 12.4448 Y
3.5394 2.4755 12.5343 Y
-0.1731 1.3772 7.1794 Y
3.1550 3.6451 7.3857 Y
5.0992 0.8798 9.6060 Y
-0.5788 -2.0835 6.0111 Sm
5.5048 4.3405 10.7743 Sm
5.3903 3.0342 15.1645 Tm
-0.4642 -0.7772 1.6209 Tm
3.2186 0.3220 6.8984 Tm
1.7075 1.9349 9.8871 Tm
```

## Properties
raw total energy	-5.49	eV per atom
E_form	151	meV per atom
total magnetic moment	0.0	μB/f.u.


No. 24
# Si2TcOs

Crystalline Si2TcOs at its relaxed geometry (PBE, the Alexandria database).

Structure (POSCAR):
```
Si2TcOs
1.0
-2.6698 1.9841 2.8163
0.3473 -2.1909 1.8727
3.3384 2.0185 1.7426
Si Tc Os
2 1 1
Cartesian
-0.4911 0.6025 2.4825 Si
0.4161 -1.8496 1.6975 Si
1.8466 0.2161 1.5983 Tc
1.4344 0.5657 4.3337 Os
```

## Properties
raw total energy	-8.41	eV per atom
total magnetic moment	0.0	μB/f.u.